Below is Tm4Bi5H after structural relaxation, with properties calculated at the PBE-GGA level.

Values from the calculation:
* uncorrected energy: -4.337 eV per atom
* DOS(E_F): 0.831 states/eV per atom
* crystal system: monoclinic
* calculated density: 10.15 g/cm3

Structure (CIF):
```
data_Tm4Bi5H
_symmetry_space_group_name_H-M 'C 1 2/m 1'
_symmetry_Int_Tables_number 12
_cell_length_a 17.638
_cell_length_b 3.480
_cell_length_c 9.178
_cell_angle_alpha 90.00
_cell_angle_beta 92.06
_cell_angle_gamma 90.00
loop_
_symmetry_equiv_pos_as_xyz
'x,y,z'
'-x,-y,-z'
'-x,y,-z'
'x,-y,z'
'x+1/2,y+1/2,z'
'-x+1/2,-y+1/2,-z'
'-x+1/2,y+1/2,-z'
'x+1/2,-y+1/2,z'
loop_
_atom_site_label
_atom_site_type_symbol
_atom_site_fract_x
_atom_site_fract_y
_atom_site_fract_z
Tm1 Tm 0.011 0.000 0.315
Tm2 Tm 0.150 0.500 0.560
Bi1 Bi 0.000 0.500 0.000
Bi2 Bi 0.153 0.000 0.871
Bi3 Bi 0.188 0.000 0.276
H1 H 0.000 0.500 0.500
```

***

Below is BeBiP2Cl after structural relaxation, with properties calculated at the PBE-GGA level.

Values from the calculation:
* DOS(E_F): 0.497 states/eV per atom
* ΔE to the lowest computed polymorph: 0.0 meV per atom
* crystal system: tetragonal
* calculated density: 5.67 g/cm3
* formation energy (no corrections): 6.42 kcal/mol of atoms

Structure (CIF):
```
data_BeBiP2Cl
_symmetry_space_group_name_H-M 'P 4/m m m'
_symmetry_Int_Tables_number 123
_symmetry_space_group_name_Hall '-P 4 2'
_cell_length_a 4.558
_cell_length_b 4.558
_cell_length_c 4.447
_cell_angle_alpha 90.00
_cell_angle_beta 90.00
_cell_angle_gamma 90.00
loop_
_atom_site_label
_atom_site_type_symbol
_atom_site_fract_x
_atom_site_fract_y
_atom_site_fract_z
Be1 Be 0.000 0.000 0.000
Bi1 Bi 0.500 0.500 0.500
P1 P 0.000 0.500 0.000
Cl1 Cl 0.000 0.000 0.500
```

***

Question: What is the calculated density in the second record?
Answer: 5.67 g/cm3

***

Question: Which of these has the lowest calculated density?
Answer: BeBiP2Cl

***

What did the first record say?
Below is Tm4Bi5H after structural relaxation, with properties calculated at the PBE-GGA level.

Values from the calculation:
* uncorrected energy: -4.337 eV per atom
* DOS(E_F): 0.831 states/eV per atom
* crystal system: monoclinic
* calculated density: 10.15 g/cm3

Structure (CIF):
```
data_Tm4Bi5H
_symmetry_space_group_name_H-M 'C 1 2/m 1'
_symmetry_Int_Tables_number 12
_cell_length_a 17.638
_cell_length_b 3.480
_cell_length_c 9.178
_cell_angle_alpha 90.00
_cell_angle_beta 92.06
_cell_angle_gamma 90.00
loop_
_symmetry_equiv_pos_as_xyz
'x,y,z'
'-x,-y,-z'
'-x,y,-z'
'x,-y,z'
'x+1/2,y+1/2,z'
'-x+1/2,-y+1/2,-z'
'-x+1/2,y+1/2,-z'
'x+1/2,-y+1/2,z'
loop_
_atom_site_label
_atom_site_type_symbol
_atom_site_fract_x
_atom_site_fract_y
_atom_site_fract_z
Tm1 Tm 0.011 0.000 0.315
Tm2 Tm 0.150 0.500 0.560
Bi1 Bi 0.000 0.500 0.000
Bi2 Bi 0.153 0.000 0.871
Bi3 Bi 0.188 0.000 0.276
H1 H 0.000 0.500 0.500
```

***

Question: What is the DOS(E_F) in the second record?
Answer: 0.497 states/eV per atom